(1)
CdGa2Os2 | Alexandria via LeMat-Bulk | PBE | optimized geometry; final energy = -5.64 eV per atom; space group = No. 127; size of the total moment = 0.000 μB per cell; DFT formation energy = 0.249 eV per atom; crystal system = tetragonal
1.0
-5.837 4.584 1.123
-3.801 -3.508 -5.440
-1.053 -1.806 1.900
Os Ga Cd
4 4 2
Cartesian
-3.952 -2.487 -2.453
-7.568 -0.839 -2.891
-6.739 1.757 0.036
-3.123 0.109 0.473
-5.395 -1.364 -4.285
-7.458 1.718 -2.500
-4.244 2.440 -0.032
-2.180 -0.642 -1.818
0.000 0.000 0.000
-4.819 0.538 -2.159

***

(2)
CdGaOs2 | Alexandria via LeMat-Bulk | PBE | optimized geometry; final energy = -5.70 eV per atom; space group = No. 122; size of the total moment = 0.000 μB per cell; DFT formation energy = 0.896 eV per atom; crystal system = tetragonal
1.0
7.471 0.000 0.000
0.000 7.471 0.000
3.736 3.736 2.515
Os Ga Cd
4 2 2
Cartesian
5.221 1.868 0.629
2.250 5.603 0.629
5.603 5.986 1.886
9.339 8.956 1.886
3.736 3.736 0.000
3.736 7.471 1.257
0.000 0.000 0.000
7.471 3.736 1.257

***

(3)
RbCdGa2Os | Alexandria via LeMat-Bulk | PBE | optimized geometry; final energy = -3.89 eV per atom; space group = No. 123; size of the total moment = 0.000 μB per cell; DFT formation energy = -0.053 eV per atom; crystal system = tetragonal
1.0
-1.704 3.902 2.422
-4.569 -1.703 -0.472
0.512 -2.665 4.654
Os Ga Rb Cd
1 2 1 1
Cartesian
0.000 0.000 0.000
-2.284 -0.851 -0.236
-0.852 1.951 1.211
-2.880 -0.233 3.302
0.256 -1.332 2.327